No. 1
# PBE with a Hubbard U NiGePO2, optimized geometry
data_NiGePO2
_chemical_formula_sum 'Ni1 Ge1 P1 O2'
_symmetry_space_group_name_H-M 'P 4/m m m'
_symmetry_Int_Tables_number 123
_symmetry_space_group_name_Hall '-P 4 2'
_cell_length_a 3.694
_cell_length_b 3.694
_cell_length_c 4.641
_cell_angle_alpha 90.00
_cell_angle_beta 90.00
_cell_angle_gamma 90.00
loop_
_atom_site_label
_atom_site_fract_x
_atom_site_fract_y
_atom_site_fract_z
_atom_site_occupancy
Ni1 0.000 0.000 0.000 1
Ge1 0.500 0.500 0.500 1
P1 0.000 0.000 0.500 1
O1 0.000 0.500 0.000 1
# V ... 12.667 Å³/atom
# Polymorph energy (0 for the lowest one) ... 0.265 eV per atom
# Total energy ... -4.383 eV per atom

***

No. 2
# PBE with a Hubbard U PaNiGeO6, optimized geometry
data_PaNiGeO6
_chemical_formula_sum 'Pa2 Ni2 Ge2 O12'
_symmetry_space_group_name_H-M 'P -3 1 c'
_symmetry_Int_Tables_number 163
_symmetry_space_group_name_Hall '-P 3 2c'
_cell_length_a 5.3802
_cell_length_b 5.3802
_cell_length_c 8.5607
_cell_angle_alpha 90.00
_cell_angle_beta 90.00
_cell_angle_gamma 120.00
loop_
_atom_site_label
_atom_site_fract_x
_atom_site_fract_y
_atom_site_fract_z
_atom_site_occupancy
Pa1 0.3333 0.6667 0.2500 1
Ni1 0.0000 0.0000 0.0000 1
Ge1 0.3333 0.6667 0.7500 1
O1 0.0388 0.3587 0.6290 1
# V ... 11.923 Å³/atom
# Total energy ... -7.070 eV per atom

***

No. 3
# PBE with a Hubbard U PaNi2GeO6, optimized geometry
data_PaNi2GeO6
_chemical_formula_sum 'Pa1 Ni2 Ge1 O6'
_symmetry_space_group_name_H-M 'P 4 m m'
_symmetry_Int_Tables_number 99
_symmetry_space_group_name_Hall 'P 4 -2'
_cell_length_a 5.679
_cell_length_b 5.679
_cell_length_c 4.317
_cell_angle_alpha 90.00
_cell_angle_beta 90.00
_cell_angle_gamma 90.00
loop_
_atom_site_label
_atom_site_fract_x
_atom_site_fract_y
_atom_site_fract_z
_atom_site_occupancy
Pa1 0.000 0.000 0.000 1
Ni1 0.000 0.500 0.248 1
Ge1 0.500 0.500 0.965 1
O1 0.000 0.000 0.520 1
O2 0.269 0.269 0.085 1
O3 0.500 0.500 0.567 1
# V ... 13.921 Å³/atom
# Total energy ... -6.520 eV per atom

***

No. 4
# PBE with a Hubbard U Ni2GePbO6, optimized geometry
data_Ni2GePbO6
_chemical_formula_sum 'Ni6 Ge3 Pb3 O18'
_symmetry_space_group_name_H-M 'R 3'
_symmetry_Int_Tables_number 146
_symmetry_space_group_name_Hall 'R 3'
_cell_length_a 5.2397
_cell_length_b 5.2397
_cell_length_c 13.9945
_cell_angle_alpha 90.00
_cell_angle_beta 90.00
_cell_angle_gamma 120.00
loop_
_atom_site_label
_atom_site_fract_x
_atom_site_fract_y
_atom_site_fract_z
_atom_site_occupancy
Ni1 0.0000 0.0000 0.0000 1
Ni2 0.0000 0.0000 0.4931 1
Ge1 0.0000 0.0000 0.7002 1
Pb1 0.0000 0.0000 0.2088 1
O1 0.0182 0.7270 0.6031 1
O2 0.0231 0.3360 0.7604 1
# V ... 11.092 Å³/atom
# Total energy ... -5.482 eV per atom

***

No. 5
# PBE with a Hubbard U NiGePbO5, optimized geometry
data_NiGePbO5
_chemical_formula_sum 'Ni4 Ge4 Pb4 O20'
_symmetry_space_group_name_H-M 'C 1 2/c 1'
_symmetry_Int_Tables_number 15
_symmetry_space_group_name_Hall '-C 2yc'
_cell_length_a 6.735
_cell_length_b 8.804
_cell_length_c 7.724
_cell_angle_alpha 90.00
_cell_angle_beta 113.47
_cell_angle_gamma 90.00
loop_
_atom_site_label
_atom_site_fract_x
_atom_site_fract_y
_atom_site_fract_z
_atom_site_occupancy
Ni1 0.000 0.158 0.250 1
Ge1 0.000 0.177 0.750 1
Pb1 0.000 0.500 0.000 1
O1 0.000 0.384 0.250 1
O2 0.151 0.040 0.921 1
O3 0.156 0.299 0.671 1
# V ... 13.129 Å³/atom
# Total energy ... -5.542 eV per atom

***

No. 6
# PBE with a Hubbard U NiGePbO4, optimized geometry
data_NiGePbO4
_chemical_formula_sum 'Ni2 Ge2 Pb2 O8'
_symmetry_space_group_name_H-M 'P 1 21/m 1'
_symmetry_Int_Tables_number 11
_symmetry_space_group_name_Hall '-P 2yb'
_cell_length_a 5.458
_cell_length_b 5.791
_cell_length_c 6.649
_cell_angle_alpha 90.00
_cell_angle_beta 105.48
_cell_angle_gamma 90.00
loop_
_atom_site_label
_atom_site_fract_x
_atom_site_fract_y
_atom_site_fract_z
_atom_site_occupancy
Ni1 0.119 0.250 0.488 1
Ge1 0.283 0.750 0.328 1
Pb1 0.264 0.250 0.031 1
O1 0.037 0.530 0.305 1
O2 0.375 0.750 0.093 1
O3 0.469 0.250 0.443 1
# V ... 14.466 Å³/atom
# Total energy ... -5.619 eV per atom